VASP calculation (PBE with a Hubbard U) on a relaxed structure of AcMo2O8.

calculated density = 4.388 g/cm³
distance to the lowest polymorph of the same formula = 0.0 meV per atom

Cell: 6.056 6.574 6.516 Å, 111.35 114.47 97.80°
Last column: magnetic moment on the atom in μB.
Fractional coordinates of all 11 atoms:
Ac  0.500  0.590  0.000  0.01
Mo  0.721  0.325  0.511  -0.06
Mo  0.279  0.857  0.489  -0.06
O  0.703  0.381  0.258  0.05
O  0.039  0.326  0.681  0.01
O  0.538  0.164  0.699  0.42
O  0.297  0.800  0.741  0.05
O  0.461  0.019  0.303  0.42
O  0.961  0.855  0.318  0.01
O  0.313  0.611  0.285  0.03
O  0.687  0.571  0.714  0.03